A relaxed LuHfFeSi2 crystal. Source: the Open Quantum Materials Database, functional GGA-PBE.

## Properties
Its magnetic moment is 0.019 μB per formula unit. As for the density: 9.35 g/cm3. The uncorrected energy comes out at -7.46 eV per atom.

a = 9.9165 Å, b = 3.9787 Å, c = 9.6232 Å
α = 90.00°, β = 119.38°, γ = 90.00°
Space group C2/m (No. 12)
Asymmetric unit:
Lu (0.0074, 0.0000, 0.1771) (multiplicity 4)
Hf (0.1847, 0.0000, 0.6003) (multiplicity 4)
Fe (0.2231, 0.5000, 0.8722) (multiplicity 4)
Si (0.0114, 0.5000, 0.3781) (multiplicity 4)
Si (0.1534, 0.5000, 0.0709) (multiplicity 4)

A relaxed Hf2Si3Mo4C3 crystal. Source: the Open Quantum Materials Database, functional GGA-PBE.

## Properties
Its magnetic moment is 0.007 μB per formula unit. As for the density: 8.78 g/cm3. The uncorrected energy comes out at -9.34 eV per atom.

a = 9.3440 Å, b = 5.4147 Å, c = 13.2450 Å
α = 90.00°, β = 103.66°, γ = 90.00°
Space group C2/c (No. 15)
Asymmetric unit:
Hf (0.0468, 0.0839, 0.3890) (multiplicity 8)
Si (0.0000, 0.4959, 0.2500) (multiplicity 4)
Si (0.2063, 0.1208, 0.7489) (multiplicity 8)
Mo (0.1117, 0.4143, 0.5855) (multiplicity 8)
Mo (0.2227, 0.4164, 0.9143) (multiplicity 8)
C (0.0810, 0.2432, 0.9998) (multiplicity 8)
C (0.2500, 0.2500, 0.5000) (multiplicity 4)

A relaxed YCoAgSb crystal. Source: the Open Quantum Materials Database, functional GGA-PBE.

## Properties
Its magnetic moment is 0.003 μB per formula unit. As for the density: 8.24 g/cm3. The uncorrected energy comes out at -5.30 eV per atom.

a = 6.7251 Å, b = 6.7251 Å, c = 6.7251 Å
α = 90.00°, β = 90.00°, γ = 90.00°
Space group F-43m (No. 216)
Asymmetric unit:
Y (0.0000, 0.0000, 0.0000) (multiplicity 4)
Co (0.2500, 0.2500, 0.7500) (multiplicity 4)
Ag (0.2500, 0.2500, 0.2500) (multiplicity 4)
Sb (0.0000, 0.0000, 0.5000) (multiplicity 4)

Question: Which value of magnetic moment does entry 2 give?
Answer: 0.007 μB per formula unit

Question: What is the magnetic moment in the third record?
Answer: 0.003 μB per formula unit